1.
## GeOsN2F (PBE-GGA)

Data for crystalline GeOsN2F at its relaxed geometry.

a = 3.8751 Å, b = 3.8751 Å, c = 3.6545 Å
α = 90.00°, β = 90.00°, γ = 90.00°
Space group P4/mmm (No. 123)
Symmetry-distinct sites (fractional):
Ge1 0.0000 0.0000 0.0000 (multiplicity 1)
Os1 0.5000 0.5000 0.5000 (multiplicity 1)
N1 0.0000 0.5000 0.0000 (multiplicity 2)
F1 0.0000 0.0000 0.5000 (multiplicity 1)

Properties
- ΔE_f (raw): 1.161 eV/atom
- DOS at the Fermi energy: 3.733 states/eV/cell
- Crystal system: tetragonal
- VASP energy: -5.713 eV per atom

---

2.
## TbZrS2O (PBE-GGA)

Data for crystalline TbZrS2O at its relaxed geometry.

a = 3.7618 Å, b = 3.7618 Å, c = 13.2086 Å
α = 90.00°, β = 90.00°, γ = 90.00°
Space group P4/nmm (No. 129, origin choice 2)
Symmetry-distinct sites (fractional):
Tb1 0.2500 0.2500 0.0906 (multiplicity 2)
Zr1 0.2500 0.2500 0.6047 (multiplicity 2)
S1 0.2500 0.2500 0.3979 (multiplicity 2)
S2 0.2500 0.2500 0.7899 (multiplicity 2)
O1 0.2500 0.7500 0.0000 (multiplicity 2)

Properties
- ΔE_f (raw): -2.281 eV/atom
- DOS at the Fermi energy: 2.362 states/eV/cell
- Crystal system: tetragonal
- VASP energy: -7.559 eV per atom